Record 1
Material: Ac3MoN6
Method: DFT, PBE
State: relaxed

abc: 6.1129 6.2842 8.6876
angles: 90.00 90.77 90.00
With the nearest neighbours (Å) after each atom.
Sites, in units of the cell vectors:
Ac  0.9827  0.4520  0.7467  6 N 2.59-2.89
Mo  0.0000  0.0000  0.0000  6 N 2.04-2.06
N  0.3936  0.5499  0.7190  1 Mo 2.04
N  0.1064  0.0499  0.7810  1 Mo 2.04
N  0.7335  0.1828  0.9497  1 Mo 2.04
N  0.3224  0.7632  0.4321  1 Mo 2.06
N  0.6064  0.4501  0.2810  1 Mo 2.04
N  0.8936  0.9501  0.2190  1 Mo 2.04
Ac  0.5000  0.5000  0.0000  6 N 2.49-2.55
Mo  0.5000  0.5000  0.5000  6 N 2.04-2.06
N  0.2665  0.8172  0.0503  1 Mo 2.04
Ac  0.5173  0.9520  0.7533  6 N 2.59-2.89
Ac  0.0173  0.5480  0.2533  6 N 2.59-2.89
Ac  0.4827  0.0480  0.2467  6 N 2.59-2.89
N  0.2335  0.3172  0.4497  1 Mo 2.04
N  0.6776  0.2368  0.5679  1 Mo 2.06
N  0.7665  0.6828  0.5503  1 Mo 2.04
Ac  0.0000  0.0000  0.5000  6 N 2.49-2.55
N  0.1776  0.2632  0.0679  1 Mo 2.06
N  0.8224  0.7368  0.9321  1 Mo 2.06

Output
- energy relative to the elements, uncorrected (eV per atom) = -0.44
- SG = No. 14
- mass density (Mg/m³) = 8.6
- total DFT energy (no corrections) (eV for the cell shown) = -155.008
- magnetic moment (Bohr magnetons per cell) = 5.7

=====

Record 2
Material: Ac3MoN5
Method: DFT, PBE
State: relaxed

abc: 7.2166 7.2166 7.8708
angles: 117.29 117.29 90.00
With the nearest neighbours (Å) after each atom.
Sites, in units of the cell vectors:
N  0.5091  0.3005  0.3096  1 Mo 1.87
Ac  0.3211  0.8211  0.0000  4 N 2.58-2.65
N  0.9909  0.4909  0.6904  1 Mo 1.87
Mo  0.7500  0.2500  0.5000  4 N 1.87
Ac  0.7500  0.7500  0.5000  10 N 2.99-3.00
Ac  0.6789  0.1789  0.0000  4 N 2.58-2.65
Mo  0.2500  0.7500  0.5000  4 N 1.87
N  0.0000  0.0000  0.0000  4 Ac 2.65
Ac  0.2500  0.2500  0.5000  10 N 2.99-3.00
Ac  0.8211  0.6789  0.0000  4 N 2.58-2.65
N  0.6995  0.1995  0.6904  1 Mo 1.87
N  0.8005  0.0091  0.3096  1 Mo 1.87
N  0.3005  0.8005  0.3096  1 Mo 1.87
N  0.4909  0.6995  0.6904  1 Mo 1.87
Ac  0.1789  0.3211  0.0000  4 N 2.58-2.65
N  0.0091  0.5091  0.3096  1 Mo 1.87
N  0.1995  0.9909  0.6904  1 Mo 1.87
N  0.5000  0.5000  0.0000  4 Ac 2.65

Output
- energy relative to the elements, uncorrected (eV per atom) = -1.09
- SG = No. 140
- mass density (Mg/m³) = 9.0
- total DFT energy (no corrections) (eV for the cell shown) = -149.165
- magnetic moment (Bohr magnetons per cell) = 0.0

=====

Record 3
Material: Ac2Mo2N5
Method: DFT, PBE
State: relaxed

abc: 4.0820 4.0820 7.8460
angles: 90.00 90.00 90.00
With the nearest neighbours (Å) after each atom.
Sites, in units of the cell vectors:
Ac  0.0000  0.0000  0.5000  12 N 2.89-2.93
N  0.5000  0.0000  0.2316  2 Mo 2.05
Ac  0.0000  0.0000  0.0000  8 N 2.73
N  0.5000  0.5000  0.5000  2 Mo 1.93
N  0.0000  0.5000  0.2316  2 Mo 2.05
N  0.5000  0.0000  0.7684  2 Mo 2.05
N  0.0000  0.5000  0.7684  2 Mo 2.05
Mo  0.5000  0.5000  0.2546  5 N 1.93-2.05
Mo  0.5000  0.5000  0.7454  5 N 1.93-2.05

Output
- energy relative to the elements, uncorrected (eV per atom) = -0.92
- SG = No. 123
- mass density (Mg/m³) = 9.1
- total DFT energy (no corrections) (eV for the cell shown) = -79.763
- magnetic moment (Bohr magnetons per cell) = 0.0

=====

Record 4
Material: Ac3Mo2N6
Method: DFT, PBE
State: relaxed

abc: 4.0782 4.0782 10.8085
angles: 100.87 100.87 90.00
With the nearest neighbours (Å) after each atom.
Sites, in units of the cell vectors:
N  0.5877  0.0877  0.1754  2 Mo 2.05
Ac  0.1801  0.1801  0.3602  9 N 2.63-2.90
N  0.6937  0.6937  0.3874  1 Mo 1.96
Ac  0.8199  0.8199  0.6398  9 N 2.63-2.90
N  0.3063  0.3063  0.6126  1 Mo 1.96
Ac  0.0000  0.0000  0.0000  8 N 2.74
Mo  0.4002  0.4002  0.8005  5 N 1.96-2.05
N  0.0877  0.5877  0.1754  2 Mo 2.05
N  0.9123  0.4123  0.8246  2 Mo 2.05
N  0.4123  0.9123  0.8246  2 Mo 2.05
Mo  0.5998  0.5998  0.1995  5 N 1.96-2.05

Output
- energy relative to the elements, uncorrected (eV per atom) = -0.97
- SG = No. 139
- mass density (Mg/m³) = 9.2
- total DFT energy (no corrections) (eV for the cell shown) = -94.625
- magnetic moment (Bohr magnetons per cell) = 0.0

=====

Record 5
Material: NaAc2Mo2N6
Method: DFT, PBE
State: relaxed

abc: 7.6934 6.7405 7.5609
angles: 120.74 89.92 55.37
With the nearest neighbours (Å) after each atom.
Sites, in units of the cell vectors:
N  0.9469  0.4754  0.1945  1 Mo 1.82
N  0.0531  0.5246  0.8055  1 Mo 1.82
N  0.5781  0.4697  0.1925  1 Mo 1.82
Na  0.5000  0.0000  0.5000  4 N 2.73-2.76
N  0.0870  0.8272  0.6001  1 Mo 1.87
Ac  0.8025  0.3962  0.8137  4 N 2.50-2.55
Mo  0.1448  0.7119  0.7854  3 N 1.82-1.87
Ac  0.1975  0.6038  0.1863  4 N 2.50-2.55
N  0.4219  0.5303  0.8075  1 Mo 1.82
N  0.9130  0.1728  0.3999  1 Mo 1.87
Mo  0.8552  0.2881  0.2146  3 N 1.82-1.87

Output
- energy relative to the elements, uncorrected (eV per atom) = -0.43
- SG = No. 2
- mass density (Mg/m³) = 4.9
- total DFT energy (no corrections) (eV for the cell shown) = -85.894
- magnetic moment (Bohr magnetons per cell) = 0.0

=====

Record 6
Material: Ac2NbMo2N6
Method: DFT, PBE
State: relaxed

abc: 6.1166 6.1166 6.5653
angles: 62.24 62.24 60.00
With the nearest neighbours (Å) after each atom.
Sites, in units of the cell vectors:
N  0.7650  0.2345  0.7660  1 Mo 1.90, 1 Nb 2.10
Mo  0.5716  0.5716  0.2853  3 N 1.90
N  0.2350  0.7655  0.2340  1 Mo 1.90, 1 Nb 2.10
Nb  0.0000  0.0000  0.0000  6 N 2.10
Mo  0.4284  0.4284  0.7147  3 N 1.90
N  0.2345  0.2345  0.7660  1 Mo 1.90, 1 Nb 2.10
N  0.7655  0.7655  0.2340  1 Mo 1.90, 1 Nb 2.10
N  0.2345  0.7650  0.7660  1 Mo 1.90, 1 Nb 2.10
Ac  0.7899  0.7899  0.6303  3 N 2.75
Ac  0.2101  0.2101  0.3697  3 N 2.75
N  0.7655  0.2350  0.2340  1 Mo 1.90, 1 Nb 2.10

Output
- energy relative to the elements, uncorrected (eV per atom) = -0.66
- SG = No. 166
- mass density (Mg/m³) = 7.6
- total DFT energy (no corrections) (eV for the cell shown) = -97.174
- magnetic moment (Bohr magnetons per cell) = 0.0

=====

Q: Look up the energy relative to the elements, uncorrected of the second one.
A: -1.09 eV per atom

=====

Copy entry 5 word for word.
Material: NaAc2Mo2N6
Method: DFT, PBE
State: relaxed

abc: 7.6934 6.7405 7.5609
angles: 120.74 89.92 55.37
With the nearest neighbours (Å) after each atom.
Sites, in units of the cell vectors:
N  0.9469  0.4754  0.1945  1 Mo 1.82
N  0.0531  0.5246  0.8055  1 Mo 1.82
N  0.5781  0.4697  0.1925  1 Mo 1.82
Na  0.5000  0.0000  0.5000  4 N 2.73-2.76
N  0.0870  0.8272  0.6001  1 Mo 1.87
Ac  0.8025  0.3962  0.8137  4 N 2.50-2.55
Mo  0.1448  0.7119  0.7854  3 N 1.82-1.87
Ac  0.1975  0.6038  0.1863  4 N 2.50-2.55
N  0.4219  0.5303  0.8075  1 Mo 1.82
N  0.9130  0.1728  0.3999  1 Mo 1.87
Mo  0.8552  0.2881  0.2146  3 N 1.82-1.87

Output
- energy relative to the elements, uncorrected (eV per atom) = -0.43
- SG = No. 2
- mass density (Mg/m³) = 4.9
- total DFT energy (no corrections) (eV for the cell shown) = -85.894
- magnetic moment (Bohr magnetons per cell) = 0.0

=====

Q: Which formula does entry 3 have?
A: Ac2Mo2N5